Here is LiPuFeO6 after structural relaxation from the Alexandria database. Energies are from PBE+U.

## Properties
**Calculated volume**: 213 Å³ per cell
**E**: -7.539 eV/atom
**Total magnetization**: 0.55 μB per atom
**N(E_F)**: 9.026 states/eV/cell

Lattice parameters (Å, degrees): 4.7955 4.7955 9.2527 90.00 90.00 90.00
With the nearest neighbours (Å) after each atom.
Fractional positions:
Li (0.0000, 0.0000, 0.0000)  6 O 2.12-2.14
Li (0.5000, 0.5000, 0.5000)  6 O 2.12-2.14
Pu (0.0000, 0.0000, 0.6659)  6 O 1.97-2.01
Pu (0.5000, 0.5000, 0.1659)  6 O 1.97-2.01
Fe (0.0000, 0.0000, 0.3267)  6 O 1.98-2.05
Fe (0.5000, 0.5000, 0.8267)  6 O 1.98-2.05
O (0.1849, 0.1849, 0.5010)  1 Pu 1.98, 1 Fe 2.04, 1 Li 2.14
O (0.1980, 0.1980, 0.8214)  1 Pu 1.97, 1 Fe 2.05, 1 Li 2.13
O (0.2038, 0.2038, 0.1732)  1 Fe 1.98, 1 Pu 2.01, 1 Li 2.12
O (0.2962, 0.7038, 0.6732)  1 Fe 1.98, 1 Pu 2.01, 1 Li 2.12
O (0.3020, 0.6980, 0.3214)  1 Pu 1.97, 1 Fe 2.05, 1 Li 2.13
O (0.3151, 0.6849, 0.0010)  1 Pu 1.98, 1 Fe 2.04, 1 Li 2.14
O (0.6849, 0.3151, 0.0010)  1 Pu 1.98, 1 Fe 2.04, 1 Li 2.14
O (0.6980, 0.3020, 0.3214)  1 Pu 1.97, 1 Fe 2.05, 1 Li 2.13
O (0.7038, 0.2962, 0.6732)  1 Fe 1.98, 1 Pu 2.01, 1 Li 2.12
O (0.7962, 0.7962, 0.1732)  1 Fe 1.98, 1 Pu 2.01, 1 Li 2.12
O (0.8020, 0.8020, 0.8214)  1 Pu 1.97, 1 Fe 2.05, 1 Li 2.13
O (0.8151, 0.8151, 0.5010)  1 Pu 1.98, 1 Fe 2.04, 1 Li 2.14